DFT (PBE-GGA) results for Ba3NiSb after structural relaxation.

Total magnetic moment   0.00 μB per cell
Volume   38.89 A^3/atom
Distance to the lowest polymorph of the same formula   0.000 eV/f.u.
Uncorrected formation energy   -0.347 eV/atom
VASP energy   -3.48 eV per atom

Structure (extended XYZ):
```
5
Lattice="5.793 0.000 0.000 0.000 5.793 0.000 0.000 0.000 5.793" Properties=species:S:1:pos:R:3 pbc="T T T"
Ba 0.000 0.000 2.897
Ba 0.000 2.897 0.000
Ba 2.897 0.000 0.000
Ni 0.000 0.000 0.000
Sb 2.897 2.897 2.897
```

---

DFT (PBE-GGA) results for Ac6La2Pr3 after structural relaxation.

Total magnetic moment   0.00 μB per cell
ΔE_f   180.9 kJ/mol of formula units
Volume   43.33 A^3/atom
VASP energy   -4.27 eV per atom

Structure (extended XYZ):
```
11
Lattice="3.355 -5.824 0.000 3.355 5.824 0.000 -2.272 0.000 12.196" Properties=species:S:1:pos:R:3 pbc="T T T"
Ac -0.026 1.941 9.172
Ac 1.111 0.000 3.023
Ac -0.026 -1.941 9.172
Ac 4.464 1.941 3.024
Ac 3.327 0.000 9.172
Ac 4.464 -1.941 3.024
La 3.355 3.892 0.000
La 3.355 -3.892 0.000
Pr -1.136 0.000 6.098
Pr 2.219 1.929 6.098
Pr 2.219 -1.929 6.098
```

---

DFT (PBE-GGA) results for NdYGe2Pt5 after structural relaxation.

Total magnetic moment   0.00 μB per cell
ΔE_f   -768.2 kJ/mol of formula units
Volume   18.74 A^3/atom
VASP energy   -6.51 eV per atom

Structure (extended XYZ):
```
9
Lattice="4.314 0.000 0.000 0.000 4.314 0.000 0.000 0.000 9.063" Properties=species:S:1:pos:R:3 pbc="T T T"
Nd 0.000 0.000 0.000
Y 0.000 0.000 4.532
Ge 2.157 2.157 3.312
Ge 2.157 2.157 5.751
Pt 0.000 2.157 2.102
Pt 0.000 2.157 6.962
Pt 2.157 0.000 2.102
Pt 2.157 0.000 6.962
Pt 2.157 2.157 0.000
```